Entry 1:
{"formula": "ThPd7Au4", "functional": "PBE-GGA", "state": "relaxed", "mass_density_g_cm3": 13.0, "delta_e_f_ev_per_atom": -0.16, "crystal_system": "monoclinic", "cell": [[5.117, 0.000, 0.000], [2.558, 8.557, -0.300], [2.558, 0.112, 5.131]], "species": ["Th", "Pd", "Pd", "Pd", "Pd", "Pd", "Pd", "Pd", "Au", "Au", "Au", "Au"], "fractional_positions": [[0.000, 0.000, 0.000], [0.797, 0.918, 0.489], [0.203, 0.082, 0.511], [0.037, 0.621, 0.305], [0.963, 0.379, 0.695], [0.342, 0.547, 0.768], [0.500, 0.000, 0.000], [0.658, 0.453, 0.232], [0.581, 0.232, 0.606], [0.419, 0.768, 0.394], [0.730, 0.684, 0.856], [0.270, 0.316, 0.144]]}

=====

Entry 2:
{"formula": "ThPdAu11", "functional": "PBE-GGA", "state": "relaxed", "mass_density_g_cm3": 16.4, "delta_e_f_ev_per_atom": -0.19, "crystal_system": "monoclinic", "cell": [[5.155, 0.087, 2.148], [2.613, 6.617, 1.089], [-0.073, 0.043, 7.435]], "species": ["Th", "Pd", "Au", "Au", "Au", "Au", "Au", "Au", "Au", "Au", "Au", "Au", "Au"], "fractional_positions": [[0.000, 0.000, 0.000], [0.500, 0.500, 0.000], [0.291, 0.213, 0.211], [0.709, 0.787, 0.789], [0.498, 0.787, 0.211], [0.502, 0.213, 0.789], [0.353, 0.651, 0.663], [0.647, 0.349, 0.337], [0.984, 0.349, 0.663], [0.016, 0.651, 0.337], [0.000, 0.500, 0.000], [0.500, 0.000, 0.500], [0.000, 0.000, 0.500]]}

=====

What did the first record say?
{"formula": "ThPd7Au4", "functional": "PBE-GGA", "state": "relaxed", "mass_density_g_cm3": 13.0, "delta_e_f_ev_per_atom": -0.16, "crystal_system": "monoclinic", "cell": [[5.117, 0.000, 0.000], [2.558, 8.557, -0.300], [2.558, 0.112, 5.131]], "species": ["Th", "Pd", "Pd", "Pd", "Pd", "Pd", "Pd", "Pd", "Au", "Au", "Au", "Au"], "fractional_positions": [[0.000, 0.000, 0.000], [0.797, 0.918, 0.489], [0.203, 0.082, 0.511], [0.037, 0.621, 0.305], [0.963, 0.379, 0.695], [0.342, 0.547, 0.768], [0.500, 0.000, 0.000], [0.658, 0.453, 0.232], [0.581, 0.232, 0.606], [0.419, 0.768, 0.394], [0.730, 0.684, 0.856], [0.270, 0.316, 0.144]]}